Here is an optimized crystal structure of SrCoSeO from OQMD via LeMat-Bulk. Energies are from GGA+U.

Structure (POSCAR):
```
SrCoSeO
1.0
-2.505 1.887 -1.990
-0.103 -2.758 -2.486
-7.450 -4.408 5.199
Co Se Sr O
2 2 2 2
direct
0.750 0.250 0.000
0.250 0.750 0.000
0.250 0.250 0.130
0.750 0.750 0.870
0.250 0.250 0.630
0.750 0.750 0.370
0.750 0.750 0.606
0.250 0.250 0.394
```

Properties
symmetry	P4/nmm
E	-4.96	eV/atom